Run i
Entry from Alexandria via LeMat-Bulk: an optimized crystal structure of Pa2Ga5Pd3 (GGA-PBE).

Calculated values
N(E_F): 0.84 states/eV/atom
crystal system: orthorhombic

Cell lengths 12.547, 12.547, 6.664 Å; angles 90.00, 90.00, 159.58 degrees
Atoms (fractional coordinates):
1 Pa 0.014 0.986 0.500
2 Pa 0.329 0.671 0.481
3 Pa 0.671 0.329 0.981
4 Pa 0.986 0.014 0.000
5 Ga 0.106 0.894 0.172
6 Ga 0.207 0.793 0.676
7 Ga 0.210 0.790 0.272
8 Ga 0.378 0.622 0.006
9 Ga 0.449 0.551 0.314
10 Ga 0.551 0.449 0.814
11 Ga 0.622 0.378 0.506
12 Ga 0.790 0.210 0.772
13 Ga 0.793 0.207 0.176
14 Ga 0.894 0.106 0.672
15 Pd 0.106 0.894 0.763
16 Pd 0.276 0.724 0.971
17 Pd 0.447 0.553 0.713
18 Pd 0.553 0.447 0.213
19 Pd 0.724 0.276 0.471
20 Pd 0.894 0.106 0.263

=====

Run ii
Entry from Alexandria via LeMat-Bulk: an optimized crystal structure of Pa2Ga5Pd3 (GGA-PBE).

Calculated values
N(E_F): 0.75 states/eV/atom
crystal system: orthorhombic

Cell lengths 8.517, 8.517, 8.517 Å; angles 106.10, 87.87, 139.46 degrees
Atoms (fractional coordinates):
1 Pa 0.136 0.227 0.363
2 Pa 0.364 0.727 0.091
3 Pa 0.636 0.273 0.909
4 Pa 0.864 0.773 0.637
5 Ga 0.032 0.750 0.282
6 Ga 0.102 0.659 0.761
7 Ga 0.250 0.250 0.000
8 Ga 0.398 0.159 0.557
9 Ga 0.468 0.750 0.718
10 Ga 0.532 0.250 0.282
11 Ga 0.602 0.841 0.443
12 Ga 0.750 0.750 0.000
13 Ga 0.898 0.341 0.239
14 Ga 0.968 0.250 0.718
15 Pd 0.141 0.891 0.033
16 Pd 0.250 0.750 0.500
17 Pd 0.359 0.391 0.750
18 Pd 0.641 0.609 0.250
19 Pd 0.750 0.250 0.500
20 Pd 0.859 0.109 0.967

=====

Best to worst by energy: run i, run ii.

=====

Run i
Entry from Alexandria via LeMat-Bulk: an optimized crystal structure of PmPa2Ga6 (GGA-PBE).

Calculated values
N(E_F): 0.84 states/eV/atom
crystal system: orthorhombic

Cell lengths 7.691, 7.691, 7.691 Å; angles 146.08, 125.76, 65.54 degrees
Atoms (fractional coordinates):
1 Pm 0.000 0.000 0.000
2 Pa 0.395 0.895 0.500
3 Pa 0.605 0.105 0.500
4 Ga 0.009 0.307 0.702
5 Ga 0.297 0.500 0.797
6 Ga 0.395 0.693 0.702
7 Ga 0.605 0.307 0.298
8 Ga 0.703 0.500 0.203
9 Ga 0.991 0.693 0.298

=====

Run ii
Entry from Alexandria via LeMat-Bulk: an optimized crystal structure of PmPa2Ga6 (GGA-PBE).

Calculated values
N(E_F): 0.95 states/eV/atom
crystal system: hexagonal

Cell lengths 7.784, 7.784, 3.537 Å; angles 90.00, 90.00, 120.00 degrees
Atoms (fractional coordinates):
1 Pm 0.000 0.000 0.000
2 Pa 0.333 0.667 0.000
3 Pa 0.667 0.333 0.000
4 Ga 0.000 0.335 0.500
5 Ga 0.000 0.665 0.500
6 Ga 0.335 0.000 0.500
7 Ga 0.335 0.335 0.500
8 Ga 0.665 0.000 0.500
9 Ga 0.665 0.665 0.500

=====

Best to worst by energy: run ii, run i.

=====

Run i
Entry from Alexandria via LeMat-Bulk: an optimized crystal structure of PmPaGa2 (GGA-PBE).

Calculated values
N(E_F): 1.23 states/eV/atom
crystal system: trigonal

Cell lengths 9.539, 9.539, 9.539 Å; angles 21.09, 21.09, 21.09 degrees
Atoms (fractional coordinates):
1 Pm 0.000 0.000 0.000
2 Pa 0.500 0.500 0.500
3 Ga 0.249 0.249 0.249
4 Ga 0.751 0.751 0.751

=====

Run ii
Entry from Alexandria via LeMat-Bulk: an optimized crystal structure of PmPaGa2 (GGA-PBE).

Calculated values
N(E_F): 1.79 states/eV/atom
crystal system: cubic

Cell lengths 5.117, 5.117, 5.117 Å; angles 60.00, 60.00, 60.00 degrees
Atoms (fractional coordinates):
1 Pm 0.000 0.000 0.000
2 Pa 0.500 0.500 0.500
3 Ga 0.250 0.250 0.250
4 Ga 0.750 0.750 0.750

=====

Best to worst by energy: run ii, run i.

=====

Run i
Entry from Alexandria via LeMat-Bulk: an optimized crystal structure of PmPa2Ga (GGA-PBE).

Calculated values
N(E_F): 1.83 states/eV/atom
crystal system: tetragonal

Cell lengths 4.400, 4.400, 5.057 Å; angles 90.00, 90.00, 90.00 degrees
Atoms (fractional coordinates):
1 Pm 0.000 0.000 0.000
2 Pa 0.000 0.500 0.500
3 Pa 0.500 0.000 0.500
4 Ga 0.500 0.500 0.000

=====

Run ii
Entry from Alexandria via LeMat-Bulk: an optimized crystal structure of PmPa2Ga (GGA-PBE).

Calculated values
N(E_F): 1.86 states/eV/atom
crystal system: trigonal

Cell lengths 11.721, 11.721, 11.721 Å; angles 15.55, 15.55, 15.55 degrees
Atoms (fractional coordinates):
1 Pm 0.000 0.000 0.000
2 Pa 0.094 0.094 0.094
3 Pa 0.906 0.906 0.906
4 Ga 0.500 0.500 0.500

=====

Best to worst by energy: run i, run ii.